# GGA-PBE SiTcHg2Te, optimized geometry
# Formation energy (no corrections)   1.5851 eV per atom
# N(E_F)   3.9 states/eV per cell
# VASP energy   -2.32 eV per atom
# Total moment   3.91 μB/cell
# V   32.994 Å³ per atom
data_SiTcHg2Te
_chemical_formula_sum 'Si1 Tc1 Hg2 Te1'
_cell_length_a 5.5721
_cell_length_b 5.3133
_cell_length_c 5.5721
_cell_angle_alpha 90.00
_cell_angle_beta 90.00
_cell_angle_gamma 90.00
_symmetry_space_group_name_H-M 'P 1'
_symmetry_Int_Tables_number 1
_symmetry_space_group_name_Hall 'P 1'
loop_
_atom_site_label
_atom_site_type_symbol
_atom_site_fract_x
_atom_site_fract_y
_atom_site_fract_z
_atom_site_occupancy
Si1 Si 0.0000 0.5000 0.0000 1
Te1 Te 0.0000 0.0000 0.0000 1
Hg1 Hg 0.0000 0.0000 0.5000 1
Hg2 Hg 0.5000 0.0000 0.0000 1
Tc1 Tc 0.5000 0.5000 0.5000 1